Computed, not measured: a relaxed ScNiAsBr2 crystal at the GGA-PBE level of DFT.

Cell and atoms, written as CIF:
```
data_ScNiAsBr2
_cell_length_a 4.7082
_cell_length_b 4.7082
_cell_length_c 5.0195
_cell_angle_alpha 90.00
_cell_angle_beta 90.00
_cell_angle_gamma 90.00
_symmetry_space_group_name_H-M 'P 4/m m m'
_symmetry_Int_Tables_number 123
_symmetry_space_group_name_Hall '-P 4 2'
loop_
_atom_site_label
_atom_site_type_symbol
_atom_site_fract_x
_atom_site_fract_y
_atom_site_fract_z
_atom_site_occupancy
Sc1 Sc 0.0000 0.0000 0.0000 1
Ni1 Ni 0.5000 0.5000 0.5000 1
As1 As 0.5000 0.5000 0.0000 1
Br1 Br 0.0000 0.5000 0.5000 1
```

Results
**Magnetic moment**: 0.00 μB per formula unit
**Formation energy without anion corrections**: -0.099 eV per atom